PtSe4 after structural relaxation, computed with PBE.

The structure in POSCAR format:
```
PtSe4
1.0
4.9497 0.0000 0.0000
0.0000 4.9497 0.0000
0.0000 0.0000 4.9497
Se Pt
4 1
direct
0.0000 0.0000 0.0000
0.5000 0.0000 0.5000
0.0000 0.5000 0.5000
0.5000 0.5000 0.0000
0.5000 0.5000 0.5000
```

## Properties
Energy relative to the lowest polymorph listed for this composition = 777 meV per atom
Raw formation energy = 292 kJ/mol of formula units
N(E_F) = 5.98 states/eV/f.u.